Ac3Zn2Cu after structural relaxation. Source: Alexandria, functional PBE-GGA.

size of the total moment = 0.000 μB per formula unit
space group = P4/mmm, No. 123
electronic total energy = -3.354 eV per atom
E_form = -0.193 eV/atom
density = 8.296 Mg/m³

```
Ac3Zn2Cu
1.0
3.8850 0.0000 0.0000
0.0000 3.8850 0.0000
0.0000 0.0000 11.6095
Ac Zn Cu
3 2 1
direct
0.0000 0.0000 0.0000
0.0000 0.0000 0.6611
0.0000 0.0000 0.3389
0.5000 0.5000 0.8333
0.5000 0.5000 0.1667
0.5000 0.5000 0.5000
```